Here is a relaxed structure of Tm4GaS2 from Alexandria. Energies are from PBE.

Cell lengths 3.836, 6.631, 13.134 Å; angles 90.00, 90.00, 106.81 degrees
Positions (direct):
Tm 0.771 0.543 0.122
Tm 0.771 0.543 0.378
Tm 0.229 0.457 0.878
Tm 0.229 0.457 0.622
Tm 0.937 0.873 0.750
Tm 0.063 0.127 0.250
Tm 0.500 0.000 0.000
Tm 0.500 0.000 0.500
Ga 0.608 0.216 0.750
Ga 0.392 0.784 0.250
S 0.136 0.272 0.441
S 0.864 0.728 0.941
S 0.136 0.272 0.059
S 0.864 0.728 0.559

Properties
Formation energy from raw total energies: -1.313 eV per atom
Theoretical density: 8407 kg/m3